Density functional theory data (GGA-PBE) for SmCd4Rh2 after structural relaxation.

a b c (Å): 4.221 4.221 8.703
angles (deg): 104.04 90.00 90.00
Atoms (fractional coordinates):
Rh 0.500 0.427 0.855
Cd 0.500 0.179 0.358
Cd 0.000 0.676 0.353
Rh 0.500 0.573 0.145
Sm 0.000 0.000 0.000
Cd 0.000 0.324 0.647
Cd 0.500 0.821 0.642

Summary:
**Crystal system**: orthorhombic
**ΔH_f (0 K)**: -0.239 eV per atom

Density functional theory data (GGA-PBE) for PuGaTc after structural relaxation.

a b c (Å): 2.723 4.808 4.808
angles (deg): 120.00 90.00 90.00
Atoms (fractional coordinates):
Tc 0.167 0.333 0.667
Ga 0.166 0.000 0.000
Pu 0.666 0.667 0.333

Summary:
**Crystal system**: hexagonal
**ΔH_f (0 K)**: 0.032 eV per atom
**Excess energy over the best structure of this formula in the dataset**: 282 meV/atom